1.
LiZrGa: optimized geometry, PBE.

Lattice parameters (Å, degrees): 5.8196 5.8217 5.8217 136.54 123.34 56.66
Last column: nearest neighbours and their distance in Å.
Atoms (fractional coordinates):
Li 0.7855 0.5545 0.4455  3 Ga 2.62-2.65, 1 Zr 2.87
Zr 0.3303 0.5010 0.4990  4 Ga 2.83-2.99, 4 Li 2.87-3.05, 1 Zr 3.06
Ga 0.8911 0.1558 0.8442  3 Li 2.65-2.85, 1 Ga 2.82, 2 Zr 2.83
Ga 0.3182 0.8359 0.1641  3 Li 2.58-2.62, 3 Zr 2.79-2.83, 1 Ga 2.82
Zr 0.8321 0.8417 0.1583  4 Ga 2.79-3.03, 2 Li 3.05, 1 Zr 3.06
Li 0.3249 0.2021 0.7979  3 Ga 2.58-2.85

## Properties
**Density**: 5.1 Mg/m³
**Electronic total energy**: -4.6937 eV/atom
**ΔE to the lowest computed polymorph**: 155 meV/atom

2.
LiZrGa: optimized geometry, PBE.

Lattice parameters (Å, degrees): 14.1432 5.4362 5.4362 145.48 147.88 32.12
Last column: nearest neighbours and their distance in Å.
Atoms (fractional coordinates):
Ga 0.8005 0.6975 0.3025  4 Li 2.69-2.71, 1 Ga 2.76, 2 Zr 2.90
Li 0.9195 0.2491 0.7509  4 Ga 2.69-2.71, 2 Li 2.80
Ga 0.1995 0.3025 0.6975  4 Li 2.69-2.71, 1 Ga 2.76, 2 Zr 2.90
Zr 0.4493 0.6944 0.3056  3 Zr 2.84-2.99, 4 Ga 2.90-3.05, 2 Li 3.12
Li 0.0805 0.7509 0.2491  4 Ga 2.69-2.71, 2 Li 2.80
Zr 0.5507 0.3056 0.6944  3 Zr 2.84-2.99, 4 Ga 2.90-3.05, 2 Li 3.12

## Properties
**Density**: 5.1 Mg/m³
**Electronic total energy**: -4.7198 eV/atom
**ΔE to the lowest computed polymorph**: 128 meV/atom

3.
LiZrGa: optimized geometry, PBE.

Lattice parameters (Å, degrees): 2.9371 4.3595 8.4266 90.00 83.59 90.00
Last column: nearest neighbours and their distance in Å.
Atoms (fractional coordinates):
Ga 0.0000 0.0000 0.5000  2 Ga 2.94, 8 Zr 3.00-3.05, 2 Li 3.06
Li 0.2255 0.0000 0.1370  2 Ga 2.59, 2 Li 2.66-2.79
Li 0.7745 0.0000 0.8630  2 Ga 2.59, 2 Li 2.66-2.79
Ga 0.0000 0.5000 0.0000  4 Li 2.59, 2 Zr 2.85
Zr 0.4254 0.5000 0.6793  5 Ga 2.85-3.05, 4 Li 2.92-3.18, 3 Zr 2.94-3.01
Zr 0.5746 0.5000 0.3207  5 Ga 2.85-3.05, 4 Li 2.92-3.18, 3 Zr 2.94-3.01

## Properties
**Density**: 5.2 Mg/m³
**Electronic total energy**: -4.7378 eV/atom
**ΔE to the lowest computed polymorph**: 110 meV/atom

4.
LiZrGa4: optimized geometry, PBE.

Lattice parameters (Å, degrees): 5.3027 5.3027 5.3027 60.00 60.00 60.00
Last column: nearest neighbours and their distance in Å.
Atoms (fractional coordinates):
Zr 0.0000 0.0000 0.0000  12 Ga 3.11, 4 Li 3.25
Ga 0.6251 0.6251 0.6251  6 Ga 2.65
Ga 0.1247 0.6251 0.6251  6 Ga 2.65
Ga 0.6251 0.6251 0.1247  6 Ga 2.65
Li 0.2500 0.2500 0.2500  12 Ga 3.11, 4 Zr 3.25
Ga 0.6251 0.1247 0.6251  6 Ga 2.65

## Properties
**Density**: 5.9 Mg/m³
**Electronic total energy**: -3.9935 eV/atom

5.
LiZrGa: optimized geometry, PBE.

Lattice parameters (Å, degrees): 14.9379 6.0460 6.0460 149.75 151.36 28.64
Last column: nearest neighbours and their distance in Å.
Atoms (fractional coordinates):
Ga 0.5000 0.0000 0.0000  4 Li 2.79, 4 Zr 2.87
Li 0.6693 0.4780 0.5220  4 Ga 2.79-2.81
Zr 0.1669 0.9907 0.0093  4 Ga 2.87, 4 Zr 3.02-3.16, 2 Li 3.20
Ga 0.0000 0.5000 0.5000  4 Li 2.81, 4 Zr 2.87
Zr 0.8331 0.0093 0.9907  4 Ga 2.87, 4 Zr 3.02-3.16, 2 Li 3.20
Li 0.3307 0.5220 0.4780  4 Ga 2.79-2.81

## Properties
**Density**: 4.9 Mg/m³
**Electronic total energy**: -4.7041 eV/atom
**ΔE to the lowest computed polymorph**: 144 meV/atom

6.
LiZrGa: optimized geometry, PBE.

Lattice parameters (Å, degrees): 4.5231 4.5231 4.5231 60.00 60.00 60.00
Last column: nearest neighbours and their distance in Å.
Atoms (fractional coordinates):
Zr 0.5000 0.5000 0.5000  4 Ga 2.77, 4 Li 2.77
Li 0.2500 0.2500 0.2500  4 Zr 2.77
Ga 0.7500 0.7500 0.7500  4 Zr 2.77

## Properties
**Density**: 4.3 Mg/m³
**Electronic total energy**: -4.1215 eV/atom
**ΔE to the lowest computed polymorph**: 727 meV/atom

7.
LiZrGa: optimized geometry, PBE.

Lattice parameters (Å, degrees): 2.9575 4.2310 9.0603 90.00 99.41 90.00
Last column: nearest neighbours and their distance in Å.
Atoms (fractional coordinates):
Zr 0.5940 0.5000 0.4907  8 Ga 2.89-3.06, 3 Zr 2.96-3.06, 2 Li 3.16-3.17
Li 0.3804 0.0000 0.0605  6 Li 2.78-2.96, 2 Ga 2.94
Zr 0.7734 0.5000 0.8328  4 Ga 2.94-2.95, 3 Zr 2.96-3.06, 5 Li 3.08-3.30
Li 0.9337 0.5000 0.1775  2 Ga 2.59, 4 Li 2.78-2.79
Ga 0.0230 0.0000 0.3447  2 Li 2.59, 4 Zr 2.89-2.90
Ga 0.1907 0.0000 0.6735  3 Ga 2.94-2.96, 8 Zr 2.94-3.06

## Properties
**Density**: 5.0 Mg/m³
**Electronic total energy**: -4.7285 eV/atom
**ΔE to the lowest computed polymorph**: 120 meV/atom

8.
LiZrGa: optimized geometry, PBE.

Lattice parameters (Å, degrees): 5.4998 4.5311 6.6355 75.43 65.52 52.64
Last column: nearest neighbours and their distance in Å.
Atoms (fractional coordinates):
Ga 0.3947 0.0000 0.2106  1 Ga 2.54, 2 Li 2.68
Li 0.8274 0.3453 0.0000  1 Li 2.49, 2 Ga 2.68
Li 0.1726 0.6547 0.0000  1 Li 2.49, 2 Ga 2.68
Zr 0.2500 0.5000 0.5000  2 Zr 2.75, 4 Ga 2.86
Ga 0.6053 0.0000 0.7894  1 Ga 2.54, 2 Li 2.68
Zr 0.7500 0.5000 0.5000  2 Zr 2.75, 4 Ga 2.86

## Properties
**Density**: 4.7 Mg/m³
**Electronic total energy**: -4.6062 eV/atom
**ΔE to the lowest computed polymorph**: 242 meV/atom